# 1
Here is CeCu2Ni4 after structural relaxation from Alexandria via LeMat-Bulk. Energies are from PBE-GGA.

a b c (Å): 4.9079 5.0208 5.0208
angles (deg): 76.17 60.64 60.64
Element x y z (fractional)
Ce 0.0000 0.0000 0.0000
Cu 0.7497 0.5003 0.5003
Cu 0.2503 0.4997 0.4997
Ni 0.6975 0.6057 0.9999
Ni 0.3025 0.3943 0.0001
Ni 0.6975 0.9999 0.6057
Ni 0.3025 0.0001 0.3943

Values from the calculation:
calculated formation energy	-20	kJ/mol of atoms
DOS(E_F)	4.67	states/eV/f.u.


# 2
Here is YbHoPd2 after structural relaxation from Alexandria via LeMat-Bulk. Energies are from PBE-GGA.

a b c (Å): 4.9318 4.9318 4.9318
angles (deg): 60.00 60.00 60.00
Last column: magnetic moment on the atom in μB.
Element x y z (fractional)
Yb 0.0000 0.0000 0.0000  0.23
Ho 0.5000 0.5000 0.5000  0.00
Pd 0.2500 0.2500 0.2500  0.00
Pd 0.7500 0.7500 0.7500  0.00

Values from the calculation:
calculated formation energy	-82	kJ/mol of atoms
DOS(E_F)	15.91	states/eV/f.u.


# 3
Here is MgCo2W after structural relaxation from Alexandria via LeMat-Bulk. Energies are from PBE-GGA.

a b c (Å): 4.8354 4.8354 4.8354
angles (deg): 136.59 136.59 63.08
Element x y z (fractional)
Co 0.0000 0.0000 0.0000
Co 0.2500 0.7500 0.5000
Mg 0.5000 0.5000 0.0000
W 0.7500 0.2500 0.5000

Values from the calculation:
calculated formation energy	27	kJ/mol of atoms
DOS(E_F)	3.39	states/eV/f.u.


# 4
Here is BaTb2In2Hg2 after structural relaxation from Alexandria via LeMat-Bulk. Energies are from PBE-GGA.

a b c (Å): 5.0603 5.0603 10.2419
angles (deg): 75.70 75.70 60.00
Element x y z (fractional)
Ba 0.0000 0.0000 0.0000
Tb 0.1353 0.1353 0.5942
Tb 0.8647 0.8647 0.4058
In 0.7467 0.7467 0.7599
In 0.2533 0.2533 0.2401
Hg 0.5596 0.5596 0.3213
Hg 0.4404 0.4404 0.6787

Values from the calculation:
calculated formation energy	-36	kJ/mol of atoms
DOS(E_F)	2.29	states/eV/f.u.


# 5
Here is LaTb2Dy6Y3 after structural relaxation from Alexandria via LeMat-Bulk. Energies are from PBE-GGA.

a b c (Å): 6.1832 6.1832 11.8380
angles (deg): 94.98 94.98 119.97
Element x y z (fractional)
La 0.0000 0.0000 0.0000
Tb 0.3334 0.6666 0.0000
Tb 0.6666 0.3334 0.0000
Dy 0.9153 0.5808 0.7483
Dy 0.7501 0.7501 0.2518
Dy 0.0847 0.4192 0.2517
Dy 0.5808 0.9153 0.7483
Dy 0.2499 0.2499 0.7482
Dy 0.4192 0.0847 0.2517
Y 0.1670 0.8330 0.5000
Y 0.8330 0.1670 0.5000
Y 0.5000 0.5000 0.5000

Values from the calculation:
calculated formation energy	2	kJ/mol of atoms
DOS(E_F)	16.61	states/eV/f.u.


# 6
Here is NiAg2Ru after structural relaxation from Alexandria via LeMat-Bulk. Energies are from PBE-GGA.

a b c (Å): 4.9906 4.9906 4.9906
angles (deg): 134.82 134.82 65.81
Last column: magnetic moment on the atom in μB.
Element x y z (fractional)
Ag 0.0000 0.0000 0.0000  0.06
Ag 0.5000 0.5000 0.0000  0.06
Ni 0.2500 0.7500 0.5000  0.76
Ru 0.7500 0.2500 0.5000  1.65

Values from the calculation:
calculated formation energy	53	kJ/mol of atoms
DOS(E_F)	4.49	states/eV/f.u.